(1)
An optimized crystal structure of LaZnCd2Ag2. Source: Alexandria via LeMat-Bulk, functional GGA-PBE.

Summary:
DOS at the Fermi energy   0.6739 states/eV/atom
ΔH_f (0 K)   -0.06 eV per atom
Total magnetization   0.0 μB per cell
Symmetry   No. 123
Density   7.4 g/cm3

The structure in POSCAR format:
```
LaZnCd2Ag2
1.0
4.8990 0.0000 0.0000
0.0000 4.8990 0.0000
0.0000 0.0000 6.0559
La Zn Cd Ag
1 1 2 2
Cartesian
0.0000 0.0000 3.0280
0.0000 0.0000 0.0000
2.4495 2.4495 4.4360
2.4495 2.4495 1.6199
2.4495 0.0000 0.0000
0.0000 2.4495 0.0000
```

***

(2)
An optimized crystal structure of Li3CdAg3. Source: Alexandria via LeMat-Bulk, functional GGA-PBE.

Summary:
DOS at the Fermi energy   0.4509 states/eV/atom
ΔH_f (0 K)   -0.07 eV per atom
Total magnetization   0.0 μB per cell
Symmetry   No. 148
Offset from the most stable computed form   0.51 eV/f.u.
Density   6.1 g/cm3

The structure in POSCAR format:
```
Li3CdAg3
1.0
-5.7278 -0.2064 -4.1774
-0.5399 -4.9656 -5.0350
-4.6802 -5.2197 0.6545
Li Cd Ag
6 2 6
Cartesian
-2.3360 -4.5380 -4.2391
-6.2166 -2.0987 -4.6491
-5.4335 -5.6646 -7.4506
-5.5144 -4.7271 -1.1073
-4.7313 -8.2930 -3.9087
-8.6118 -5.8537 -4.3187
-6.5964 -6.7103 -2.6650
-4.3514 -3.6815 -5.8928
-6.6385 -7.1515 -5.6407
-7.2791 -3.7926 -2.9345
-3.6367 -6.1714 -2.6333
-7.3111 -4.2203 -5.9246
-3.6687 -6.5991 -5.6234
-4.3093 -3.2402 -2.9171
```

***

(3)
An optimized crystal structure of LiCd6Ag2. Source: Alexandria via LeMat-Bulk, functional GGA-PBE.

Summary:
DOS at the Fermi energy   0.3320 states/eV/atom
ΔH_f (0 K)   0.03 eV per atom
Total magnetization   0.0 μB per cell
Symmetry   No. 12
Offset from the most stable computed form   0.94 eV/f.u.
Density   7.1 g/cm3

The structure in POSCAR format:
```
LiCd6Ag2
1.0
4.6210 0.0000 -0.1815
0.0000 6.4891 0.0000
-2.0583 -3.2446 7.1253
Li Cd Ag
1 6 2
Cartesian
0.0000 0.0000 0.0000
0.0806 1.5719 2.3114
2.4821 -1.6727 4.6324
2.4821 1.6727 4.6324
2.3105 1.5605 -0.0908
0.0806 4.9173 2.3114
2.3105 4.9286 -0.0908
2.3911 3.2446 2.2233
0.1715 0.0000 4.7205
```